A relaxed TaTeSe2 crystal, computed with PBE. Values from VASP.

```
&SYSTEM
  ibrav = 0, nat = 4, ntyp = 3
/
ATOMIC_SPECIES
Se 78.96 Se.upf
Ta 180.95 Ta.upf
Te 127.60 Te.upf
CELL_PARAMETERS angstrom
-1.070 -2.809 0.887
1.248 0.422 2.844
-8.307 4.123 3.033
ATOMIC_POSITIONS angstrom
Se -0.086 0.043 0.031
Se -2.603 0.142 2.848
Ta -3.974 1.972 1.451
Te -5.621 1.640 3.950
```

Computed properties:
The density comes out at 8.081 g cm⁻³. The calculation puts the final energy at -5.53 eV per atom. The formation energy without anion corrections is -0.040 eV per atom. Its space-group type is No. 99. Its crystal system is tetragonal.

---

A relaxed Tb7YHo4 crystal, computed with PBE. Values from VASP.

```
&SYSTEM
  ibrav = 0, nat = 12, ntyp = 3
/
ATOMIC_SPECIES
Ho 164.93 Ho.upf
Tb 158.93 Tb.upf
Y 88.91 Y.upf
CELL_PARAMETERS angstrom
-5.842 -0.646 0.039
-1.984 -8.340 7.705
-3.347 3.792 4.368
ATOMIC_POSITIONS angstrom
Ho -2.704 -2.095 3.275
Ho -5.327 -4.814 8.163
Ho -5.846 -0.379 3.949
Ho -8.470 -3.098 8.836
Tb -8.799 -0.288 6.007
Tb -3.061 1.104 2.777
Tb -8.113 -6.298 9.335
Tb -5.698 -1.524 7.217
Tb -2.374 -4.905 6.104
Tb -2.921 -0.323 0.019
Tb -5.476 -3.670 4.895
Y 0.000 0.000 0.000
```

Computed properties:
The density comes out at 7.859 g cm⁻³. The calculation puts the excess energy over the best structure of this formula in the dataset at 27.5 kJ per mole of atoms. The calculation puts the final energy at -4.48 eV per atom. Its energy relative to the elements is 0.28 eV per atom. Its space-group type is No. 12. Its crystal system is monoclinic.